No. 1
Material: InPPd2
Method: DFT, PBEsol
State: optimized geometry

Properties
The density of states at the Fermi level comes out at 0.475 states/eV/atom. The value obtained for the calculated volume is 15.7 Å³/atom. For the total energy, the calculation gives -86.06 eV per cell. The value obtained for the energy of formation is -0.8 eV/f.u. Its calculated density is 9.5 g/cm³. The symmetry is Fm-3m, No. 225. For the spin magnetization, the calculation gives 0.0 μB/f.u.

a = 6.311 Å, b = 6.311 Å, c = 6.311 Å
α = 90.00°, β = 90.00°, γ = 90.00°
Positions (direct):
In  0.000  0.000  0.000
In  0.000  0.500  0.500
In  0.500  0.000  0.500
In  0.500  0.500  0.000
P  0.000  0.000  0.500
P  0.000  0.500  0.000
P  0.500  0.000  0.000
P  0.500  0.500  0.500
Pd  0.250  0.250  0.250
Pd  0.250  0.250  0.750
Pd  0.250  0.750  0.250
Pd  0.250  0.750  0.750
Pd  0.750  0.250  0.250
Pd  0.750  0.250  0.750
Pd  0.750  0.750  0.250
Pd  0.750  0.750  0.750

No. 2
Material: In3CuAs2Se2
Method: DFT, PBEsol
State: optimized geometry

Properties
The density of states at the Fermi level comes out at 0.108 states/eV/atom. The value obtained for the calculated volume is 26.1 Å³/atom. For the total energy, the calculation gives -33.55 eV per cell. The formation energy from raw total energies comes out at -294 meV/atom. Its calculated density is 5.7 g/cm³. The symmetry is P-4m2, No. 115. For the spin magnetization, the calculation gives 0.0 μB/f.u.

a = 4.221 Å, b = 4.221 Å, c = 11.730 Å
α = 90.00°, β = 90.00°, γ = 90.00°
Positions (direct):
In  0.000  0.000  0.000
In  0.500  0.500  0.264
In  0.500  0.500  0.736
Cu  0.000  0.000  0.500
As  0.000  0.500  0.133
As  0.500  0.000  0.867
Se  0.000  0.500  0.601
Se  0.500  0.000  0.399

No. 3
Material: Be2InFe
Method: DFT, PBEsol
State: optimized geometry

Properties
The density of states at the Fermi level comes out at 0.197 states/eV/atom. The value obtained for the calculated volume is 11.7 Å³/atom. For the total energy, the calculation gives -38.31 eV per cell. The value obtained for the energy of formation is 0.8 eV/f.u. Its calculated density is 6.7 g/cm³. The symmetry is Imm2, No. 44. For the spin magnetization, the calculation gives 1.0 μB/f.u.

a = 3.460 Å, b = 3.484 Å, c = 7.758 Å
α = 90.00°, β = 90.00°, γ = 90.00°
Positions (direct):
Be  0.000  0.000  0.000
Be  0.000  0.500  0.249
Be  0.500  0.000  0.749
Be  0.500  0.500  0.500
In  0.000  0.000  0.498
In  0.500  0.500  0.998
Fe  0.000  0.500  0.748
Fe  0.500  0.000  0.248

No. 4
Material: Zr2CdW
Method: DFT, PBEsol
State: optimized geometry

Properties
The density of states at the Fermi level comes out at 0.907 states/eV/atom. The value obtained for the calculated volume is 19.3 Å³/atom. For the total energy, the calculation gives -96.59 eV per cell. The value obtained for the energy of formation is 1.0 eV/f.u. Its calculated density is 10.3 g/cm³. The symmetry is R-3m, No. 166. For the spin magnetization, the calculation gives 0.0 μB/f.u.

a = 2.898 Å, b = 2.898 Å, c = 31.835 Å
α = 90.00°, β = 90.00°, γ = 120.00°
Positions (direct):
Zr  0.000  0.000  0.248
Zr  0.000  0.000  0.752
Zr  0.333  0.667  0.418
Zr  0.333  0.667  0.915
Zr  0.667  0.333  0.085
Zr  0.667  0.333  0.582
Cd  0.000  0.000  0.000
Cd  0.333  0.667  0.667
Cd  0.667  0.333  0.333
W  0.000  0.000  0.500
W  0.333  0.667  0.167
W  0.667  0.333  0.833

No. 5
Material: MgTa2Be
Method: DFT, PBEsol
State: optimized geometry

Properties
The density of states at the Fermi level comes out at 0.820 states/eV/atom. The value obtained for the calculated volume is 15.8 Å³/atom. For the total energy, the calculation gives -58.37 eV per cell. The value obtained for the energy of formation is 1.6 eV/f.u. For the offset from the most stable computed form, the calculation gives 58 meV/atom. Its calculated density is 10.4 g/cm³. The symmetry is I-4m2, No. 119. For the spin magnetization, the calculation gives 0.0 μB/f.u.

a = 3.857 Å, b = 3.857 Å, c = 8.501 Å
α = 90.00°, β = 90.00°, γ = 90.00°
Positions (direct):
Mg  0.000  0.000  0.000
Mg  0.500  0.500  0.500
Ta  0.000  0.000  0.500
Ta  0.000  0.500  0.250
Ta  0.500  0.000  0.750
Ta  0.500  0.500  0.000
Be  0.000  0.500  0.750
Be  0.500  0.000  0.250

No. 6
Material: CaInSi2
Method: DFT, PBEsol
State: optimized geometry

Properties
The density of states at the Fermi level comes out at 0.583 states/eV/atom. The value obtained for the calculated volume is 22.9 Å³/atom. For the total energy, the calculation gives -47.48 eV per cell. The formation energy from raw total energies comes out at 196 meV/atom. Its calculated density is 3.8 g/cm³. The symmetry is R-3m, No. 166. For the spin magnetization, the calculation gives 0.0 μB/f.u.

a = 3.598 Å, b = 3.598 Å, c = 24.462 Å
α = 90.00°, β = 90.00°, γ = 120.00°
Positions (direct):
Ca  0.000  0.000  0.000
Ca  0.333  0.667  0.667
Ca  0.667  0.333  0.333
In  0.000  0.000  0.500
In  0.333  0.667  0.167
In  0.667  0.333  0.833
Si  0.000  0.000  0.242
Si  0.000  0.000  0.758
Si  0.333  0.667  0.424
Si  0.333  0.667  0.909
Si  0.667  0.333  0.091
Si  0.667  0.333  0.576

No. 7
Material: NaLiTl2
Method: DFT, PBEsol
State: optimized geometry

Properties
The density of states at the Fermi level comes out at 0.384 states/eV/atom. The value obtained for the calculated volume is 23.3 Å³/atom. For the total energy, the calculation gives -36.88 eV per cell. The value obtained for the energy of formation is -0.6 eV/f.u. Its calculated density is 7.8 g/cm³. The symmetry is Fm-3m, No. 225. For the spin magnetization, the calculation gives 0.0 μB/f.u.

a = 7.200 Å, b = 7.200 Å, c = 7.200 Å
α = 90.00°, β = 90.00°, γ = 90.00°
Positions (direct):
Na  0.000  0.000  0.000
Na  0.000  0.500  0.500
Na  0.500  0.000  0.500
Na  0.500  0.500  0.000
Li  0.000  0.000  0.500
Li  0.000  0.500  0.000
Li  0.500  0.000  0.000
Li  0.500  0.500  0.500
Tl  0.250  0.250  0.250
Tl  0.250  0.250  0.750
Tl  0.250  0.750  0.250
Tl  0.250  0.750  0.750
Tl  0.750  0.250  0.250
Tl  0.750  0.250  0.750
Tl  0.750  0.750  0.250
Tl  0.750  0.750  0.750

No. 8
Material: TlMo6S8
Method: DFT, PBEsol
State: optimized geometry

Properties
The density of states at the Fermi level comes out at 0.748 states/eV/atom. The value obtained for the calculated volume is 18.3 Å³/atom. For the total energy, the calculation gives -119.24 eV per cell. The formation energy from raw total energies comes out at -729 meV/atom. Its calculated density is 6.3 g/cm³. The symmetry is R-3, No. 148. For the spin magnetization, the calculation gives 0.0 μB/f.u.

a = 6.499 Å, b = 6.499 Å, c = 6.499 Å
α = 88.53°, β = 88.53°, γ = 88.53°
Positions (direct):
Tl  0.000  0.000  0.000
Mo  0.222  0.412  0.564
Mo  0.412  0.564  0.222
Mo  0.436  0.778  0.588
Mo  0.564  0.222  0.412
Mo  0.588  0.436  0.778
Mo  0.778  0.588  0.436
S  0.124  0.739  0.392
S  0.245  0.245  0.245
S  0.261  0.608  0.876
S  0.392  0.124  0.739
S  0.608  0.876  0.261
S  0.739  0.392  0.124
S  0.755  0.755  0.755
S  0.876  0.261  0.608

No. 9
Material: Li2TiCo3O8
Method: DFT, PBEsol
State: optimized geometry

Properties
The density of states at the Fermi level comes out at 0.582 states/eV/atom. The value obtained for the calculated volume is 9.0 Å³/atom. For the total energy, the calculation gives -203.39 eV per cell. The formation energy from raw total energies comes out at -1731 meV/atom. Its calculated density is 4.9 g/cm³. The symmetry is P6_3mc, No. 186. For the spin magnetization, the calculation gives 1.1 μB/f.u.

a = 5.633 Å, b = 5.633 Å, c = 9.121 Å
α = 90.00°, β = 90.00°, γ = 120.00°
Positions (direct):
Li  0.000  0.000  0.000
Li  0.000  0.000  0.500
Li  0.333  0.667  0.395
Li  0.667  0.333  0.895
Ti  0.333  0.667  0.997
Ti  0.667  0.333  0.497
Co  0.170  0.340  0.717
Co  0.170  0.830  0.717
Co  0.340  0.170  0.217
Co  0.660  0.830  0.717
Co  0.830  0.170  0.217
Co  0.830  0.660  0.217
O  0.000  0.000  0.308
O  0.000  0.000  0.808
O  0.038  0.519  0.836
O  0.165  0.330  0.103
O  0.165  0.835  0.103
O  0.330  0.165  0.603
O  0.333  0.667  0.612
O  0.481  0.519  0.836
O  0.481  0.962  0.836
O  0.519  0.038  0.336
O  0.519  0.481  0.336
O  0.667  0.333  0.112
O  0.670  0.835  0.103
O  0.835  0.165  0.603
O  0.835  0.670  0.603
O  0.962  0.481  0.336

No. 10
Material: Li2P2WO8
Method: DFT, PBEsol
State: optimized geometry

Properties
The density of states at the Fermi level comes out at 0.189 states/eV/atom. The value obtained for the calculated volume is 10.9 Å³/atom. For the total energy, the calculation gives -197.23 eV per cell. The formation energy from raw total energies comes out at -2100 meV/atom. For the offset from the most stable computed form, the calculation gives 38 meV/atom. Its calculated density is 4.5 g/cm³. The symmetry is Pmc2_1, No. 26. For the spin magnetization, the calculation gives 2.0 μB/f.u.

a = 5.794 Å, b = 4.852 Å, c = 10.108 Å
α = 90.00°, β = 90.00°, γ = 90.00°
Positions (direct):
Li  0.000  0.187  0.000
Li  0.000  0.232  0.323
Li  0.000  0.768  0.823
Li  0.000  0.813  0.500
P  0.000  0.321  0.647
P  0.000  0.679  0.147
P  0.500  0.115  0.473
P  0.500  0.885  0.973
W  0.500  0.308  0.787
W  0.500  0.692  0.287
O  0.000  0.013  0.665
O  0.000  0.420  0.505
O  0.000  0.580  0.005
O  0.000  0.987  0.165
O  0.208  0.464  0.726
O  0.208  0.536  0.226
O  0.294  0.043  0.905
O  0.294  0.957  0.405
O  0.500  0.065  0.623
O  0.500  0.423  0.443
O  0.500  0.577  0.943
O  0.500  0.935  0.123
O  0.706  0.043  0.905
O  0.706  0.957  0.405
O  0.792  0.464  0.726
O  0.792  0.536  0.226

No. 11
Material: KTcBr2
Method: DFT, PBEsol
State: optimized geometry

Properties
The density of states at the Fermi level comes out at 0.521 states/eV/atom. The value obtained for the calculated volume is 25.2 Å³/atom. For the total energy, the calculation gives -16.60 eV per cell. The formation energy from raw total energies comes out at -115 meV/atom. For the offset from the most stable computed form, the calculation gives 0 meV/atom. Its calculated density is 4.9 g/cm³. The symmetry is P4/mmm, No. 123. For the spin magnetization, the calculation gives 3.1 μB/f.u.

a = 5.212 Å, b = 5.212 Å, c = 3.716 Å
α = 90.00°, β = 90.00°, γ = 90.00°
Positions (direct):
K  0.000  0.000  0.000
Tc  0.500  0.500  0.500
Br  0.000  0.500  0.500
Br  0.500  0.000  0.500

No. 12
Material: AlZnOs2
Method: DFT, PBEsol
State: optimized geometry

Properties
The density of states at the Fermi level comes out at 1.140 states/eV/atom. The value obtained for the calculated volume is 14.4 Å³/atom. For the total energy, the calculation gives -57.59 eV per cell. The value obtained for the energy of formation is 1.3 eV/f.u. Its calculated density is 13.6 g/cm³. The symmetry is Cmm2, No. 35. For the spin magnetization, the calculation gives 0.0 μB/f.u.

a = 2.758 Å, b = 4.698 Å, c = 8.904 Å
α = 90.00°, β = 90.00°, γ = 90.00°
Positions (direct):
Al  0.000  0.000  0.000
Al  0.500  0.500  0.000
Zn  0.000  0.500  0.259
Zn  0.500  0.000  0.259
Os  0.000  0.000  0.509
Os  0.000  0.500  0.761
Os  0.500  0.000  0.761
Os  0.500  0.500  0.509

What is the spin magnetization in the fifth record?
0.0 μB/f.u.

What did the first record say?
Material: InPPd2
Method: DFT, PBEsol
State: optimized geometry

Properties
The density of states at the Fermi level comes out at 0.475 states/eV/atom. The value obtained for the calculated volume is 15.7 Å³/atom. For the total energy, the calculation gives -86.06 eV per cell. The value obtained for the energy of formation is -0.8 eV/f.u. Its calculated density is 9.5 g/cm³. The symmetry is Fm-3m, No. 225. For the spin magnetization, the calculation gives 0.0 μB/f.u.

a = 6.311 Å, b = 6.311 Å, c = 6.311 Å
α = 90.00°, β = 90.00°, γ = 90.00°
Positions (direct):
In  0.000  0.000  0.000
In  0.000  0.500  0.500
In  0.500  0.000  0.500
In  0.500  0.500  0.000
P  0.000  0.000  0.500
P  0.000  0.500  0.000
P  0.500  0.000  0.000
P  0.500  0.500  0.500
Pd  0.250  0.250  0.250
Pd  0.250  0.250  0.750
Pd  0.250  0.750  0.250
Pd  0.250  0.750  0.750
Pd  0.750  0.250  0.250
Pd  0.750  0.250  0.750
Pd  0.750  0.750  0.250
Pd  0.750  0.750  0.750